(1)
DFT (GGA-PBE) results for a geometry-optimized Sc3SiOs structure.

a b c (Å): 4.946 4.946 4.946
angles (deg): 90.00 90.00 90.00
Element x y z (fractional)
Sc  0.000  0.500  0.000
Sc  0.000  0.000  0.500
Sc  0.500  0.000  0.000
Si  0.500  0.500  0.500
Os  0.000  0.000  0.000

Computed properties:
* energy relative to the lowest polymorph listed for this composition: 0.000 eV/f.u.
* ΔE_f (raw): 132 meV per atom
* total magnetic moment: 0.00 μB per formula unit



(2)
DFT (GGA-PBE) results for a geometry-optimized Ca3GaSb2Pd9 structure.

a b c (Å): 6.819 6.819 8.833
angles (deg): 90.00 90.00 120.00
Element x y z (fractional)
Ca  0.333  0.667  0.725
Ca  0.000  0.000  0.000
Ca  0.667  0.333  0.275
Ga  0.000  0.000  0.500
Sb  0.333  0.667  0.197
Sb  0.667  0.333  0.803
Pd  0.868  0.132  0.721
Pd  0.868  0.737  0.721
Pd  0.263  0.132  0.721
Pd  0.737  0.868  0.279
Pd  0.132  0.263  0.279
Pd  0.132  0.868  0.279
Pd  0.500  0.000  0.000
Pd  0.000  0.500  0.000
Pd  0.500  0.500  0.000

Computed properties:
* ΔE_f (raw): -452 meV per atom
* total magnetic moment: 0.00 μB per formula unit



(3)
DFT (GGA-PBE) results for a geometry-optimized TlNCl2 structure.

a b c (Å): 8.334 7.579 7.579
angles (deg): 72.40 56.64 56.65
Site moments in Bohr magnetons follow the coordinates.
Element x y z (fractional)
Tl  0.896  0.677  0.184  0.00
Tl  0.396  0.677  0.184  0.00
N  0.644  0.177  0.684  1.93
N  0.144  0.177  0.684  1.93
Cl  0.005  0.677  0.465  0.02
Cl  0.505  0.958  0.184  0.02
Cl  0.787  0.395  0.184  0.02
Cl  0.287  0.677  0.902  0.02

Computed properties:
* energy relative to the lowest polymorph listed for this composition: 1.167 eV/f.u.
* ΔE_f (raw): 869 meV per atom
* total magnetic moment: 2.99 μB per formula unit



(4)
DFT (GGA-PBE) results for a geometry-optimized TaNiRh2 structure.

a b c (Å): 4.367 2.738 4.860
angles (deg): 85.03 90.00 90.00
Element x y z (fractional)
Ni  0.500  0.750  0.750
Rh  0.000  0.977  0.987
Rh  0.000  0.523  0.513
Ta  0.500  0.250  0.250

Computed properties:
* formation energy from the elements: -0.172 eV per atom
* total magnetic moment: 0.00 μB per formula unit